# FeReB

FeReB after structural relaxation (PBE, Alexandria).

As for the formation energy: -0.329 eV/f.u. The calculation puts the density of states at the Fermi level at 4.0 states/eV per cell. The value obtained for the uncorrected energy is -55.8 eV/cell.

The structure belongs to space group P2_1/m (No. 11); the cell edges are 4.445, 2.921 and 4.831 Å and the angles 90.00°, 97.60° and 90.00°. The distinct sites, in fractional coordinates, are Fe at (0.117, 0.250, 0.186), Re at (0.400, 0.250, 0.757) and B at (0.117, 0.750, 0.468).

# Cs2AgBr4

Cs2AgBr4 after structural relaxation (PBE, Alexandria).

For the raw formation energy, the calculation gives -1.110 eV/atom. The calculation puts the density of states at the Fermi level at 8.7 states/eV per cell. The value obtained for the uncorrected energy is -38.0 eV/cell.

The structure belongs to space group P2_1/m (No. 11); the cell edges are 8.265, 6.916 and 10.776 Å and the angles 90.00°, 108.05° and 90.00°. The distinct sites, in fractional coordinates, are Cs at (0.196, 0.250, 0.428), Cs at (0.260, 0.250, 0.942), Ag at (0.277, 0.750, 0.199), Br at (0.083, 0.750, 0.360), Br at (0.122, 0.750, 0.944) and Br at (0.495, 0.528, 0.731).